CeDy2ErN4, optimized geometry, DFT PBE-GGA; SG = No. 10; E_form (uncorrected) = -1.6667 eV per atom
1.0
-2.455 1.849 1.650
-3.255 0.200 -5.066
-1.548 -4.885 3.171
N Dy Ce Er
4 2 1 1
direct
0.000 0.751 0.249
0.500 0.750 0.754
0.500 0.250 0.246
0.000 0.249 0.751
0.500 0.000 0.500
0.000 0.500 0.500
0.500 0.500 0.000
0.000 0.000 0.000

Ti2NiMo2, optimized geometry, DFT PBE-GGA; SG = No. 139; E_form = 561.2 meV per atom
1.0
3.500 0.000 0.000
0.000 3.500 0.000
1.750 1.750 7.035
Mo Ti Ni
2 2 1
direct
0.750 0.250 0.500
0.250 0.750 0.500
0.591 0.591 0.818
0.409 0.409 0.182
0.000 0.000 0.000

SbIr, optimized geometry, DFT PBE-GGA; SG = No. 166; E_form (uncorrected) = 0.2046 eV per atom
1.0
-1.104 2.744 3.367
-1.155 -0.379 4.314
1.694 1.179 3.979
Sb Ir
1 1
direct
0.500 0.500 0.500
0.000 0.000 0.000

Pa2CuOs, optimized geometry, DFT PBE-GGA; SG = No. 123; E_form = -74.1 meV per atom
1.0
-3.803 -1.187 0.491
1.386 -4.118 0.784
0.272 0.912 4.312
Cu Pa Os
1 2 1
direct
0.500 0.000 0.000
0.000 0.500 0.000
0.000 0.000 0.500
0.500 0.500 0.500

CaOsPt2, optimized geometry, DFT PBE-GGA; SG = No. 8; E_form = -105.7 meV per atom
1.0
-4.982 0.635 0.648
-4.352 -1.811 1.851
0.081 2.267 4.566
Os Ca Pt
1 1 2
direct
0.259 0.259 0.189
0.499 0.499 0.527
0.997 0.997 0.043
0.745 0.745 0.742

K2RbSrCl5, optimized geometry, DFT PBE-GGA; SG = No. 71; E_form (uncorrected) = -2.0721 eV per atom
1.0
-2.992 3.382 -3.175
0.634 -5.008 -5.933
-5.280 -2.737 6.860
Cl K Sr Rb
5 2 1 1
direct
0.364 0.613 0.728
0.636 0.387 0.272
0.000 0.000 0.000
0.364 0.115 0.728
0.636 0.885 0.272
0.791 0.791 0.582
0.209 0.209 0.418
0.500 0.000 0.000
0.000 0.500 0.000

Ti2FeHRh, optimized geometry, DFT PBE-GGA; SG = No. 123; E_tot = -37.35 eV for the cell shown
1.0
-2.018 -1.619 -3.243
2.874 -2.975 -0.304
-1.796 -1.948 2.090
Ti H Fe Rh
2 1 1 1
direct
0.000 0.500 0.000
0.500 0.000 0.000
0.000 0.000 0.000
0.000 0.000 0.500
0.500 0.500 0.500

ScCuGe, optimized geometry, DFT PBE-GGA; SG = No. 2; E_form = -427.4 meV per atom
1.0
-4.516 0.159 4.050
0.198 -4.166 0.396
2.377 -1.672 3.391
Cu Sc Ge
2 2 2
direct
0.551 0.021 0.751
0.266 0.363 0.066
0.721 0.352 0.088
0.096 0.032 0.728
0.908 0.692 0.408
0.408 0.692 0.408

PmAl2TeO8, optimized geometry, DFT PBE-GGA; SG = No. 65; E_form (uncorrected) = -2.1248 eV per atom
1.0
4.552 0.042 -0.003
0.085 4.553 -0.004
0.005 0.007 6.624
Te Al O Pm
1 2 8 1
direct
0.000 0.000 0.000
0.500 0.500 0.227
0.500 0.500 0.773
0.302 0.302 0.000
0.655 0.655 0.500
0.793 0.207 0.785
0.793 0.207 0.215
0.207 0.793 0.215
0.698 0.698 0.000
0.207 0.793 0.785
0.345 0.345 0.500
0.000 0.000 0.500

Si2SnMoH, optimized geometry, DFT PBE-GGA; SG = No. 123; E_tot = -23.35 eV for the cell shown
1.0
-0.465 -4.900 -1.555
-0.553 -0.957 3.180
-5.071 0.694 -0.673
Sn H Mo Si
1 1 1 2
direct
0.000 0.000 0.000
0.000 0.500 0.000
0.500 0.500 0.500
0.500 0.000 0.000
0.000 0.000 0.500

Sm2Ag3Pd2, optimized geometry, DFT PBE-GGA; SG = No. 12; E_form = -492.1 meV per atom
1.0
4.208 0.000 0.000
-2.104 5.034 0.148
0.000 -0.969 7.043
Sm Pd Ag
2 2 3
direct
0.617 0.234 0.329
0.383 0.766 0.671
0.097 0.194 0.645
0.903 0.806 0.355
0.000 0.000 0.000
0.307 0.615 0.116
0.693 0.385 0.884

BiRu, optimized geometry, DFT PBE-GGA; SG = No. 87; E_form = 345.2 meV per atom
1.0
9.952 0.000 0.000
0.000 9.952 0.000
0.000 0.000 3.964
Bi Ru
8 8
direct
0.211 0.885 0.000
0.711 0.385 0.500
0.885 0.789 0.000
0.789 0.115 0.000
0.615 0.711 0.500
0.385 0.289 0.500
0.289 0.615 0.500
0.115 0.211 0.000
0.408 0.912 0.500
0.092 0.588 0.000
0.412 0.092 0.000
0.088 0.408 0.500
0.592 0.088 0.500
0.588 0.908 0.000
0.908 0.412 0.000
0.912 0.592 0.500

| no. | total magnetic moment (μB per cell) |
| --- | --- |
| 1 | 0.057 |
| 2 | 0.000 |
| 3 | 0.000 |
| 4 | 0.000 |
| 5 | 0.000 |
| 6 | 0.000 |
| 7 | 0.000 |
| 8 | 0.000 |
| 9 | 0.207 |
| 10 | 2.669 |
| 11 | 0.000 |
| 12 | 0.003 |